1.
# La2CoSn5 PBE-GGA relaxed
data_La2CoSn5
_cell_length_a 6.725
_cell_length_b 6.725
_cell_length_c 9.722
_cell_angle_alpha 90.00
_cell_angle_beta 90.00
_cell_angle_gamma 90.00
_space_group_name_H-M_alt 'P 1'
_space_group_IT_number 1
_space_group_name_Hall 'P 1'
loop_
_atom_site_label
_atom_site_type_symbol
_atom_site_fract_x
_atom_site_fract_y
_atom_site_fract_z
La1 La 0.000 0.500 0.000
La2 La 0.000 0.500 0.500
La3 La 0.500 0.000 0.000
La4 La 0.500 0.000 0.500
Co1 Co 0.000 0.000 0.229
Co2 Co 0.500 0.500 0.729
Sn1 Sn 0.000 0.000 0.971
Sn2 Sn 0.232 0.232 0.743
Sn3 Sn 0.232 0.768 0.743
Sn4 Sn 0.268 0.268 0.243
Sn5 Sn 0.268 0.732 0.243
Sn6 Sn 0.500 0.500 0.471
Sn7 Sn 0.732 0.268 0.243
Sn8 Sn 0.732 0.732 0.243
Sn9 Sn 0.768 0.232 0.743
Sn10 Sn 0.768 0.768 0.743
# Calculated density ... 7.03 g cm⁻³
# D(E_F) ... 6.68 states/eV/f.u.
# DFT total energy ... -4.992 eV/atom

=====

2.
# Ba6Ga2Sb PBE-GGA relaxed
data_Ba6Ga2Sb
_cell_length_a 10.122
_cell_length_b 10.122
_cell_length_c 10.122
_cell_angle_alpha 114.78
_cell_angle_beta 107.59
_cell_angle_gamma 106.18
_space_group_name_H-M_alt 'P 1'
_space_group_IT_number 1
_space_group_name_Hall 'P 1'
loop_
_atom_site_label
_atom_site_type_symbol
_atom_site_fract_x
_atom_site_fract_y
_atom_site_fract_z
Ba1 Ba 0.052 0.239 0.813
Ba2 Ba 0.177 0.271 0.448
Ba3 Ba 0.177 0.729 0.906
Ba4 Ba 0.335 0.022 0.687
Ba5 Ba 0.335 0.648 0.313
Ba6 Ba 0.426 0.239 0.187
Ba7 Ba 0.574 0.761 0.813
Ba8 Ba 0.665 0.352 0.687
Ba9 Ba 0.665 0.978 0.313
Ba10 Ba 0.823 0.271 0.094
Ba11 Ba 0.823 0.729 0.552
Ba12 Ba 0.948 0.761 0.187
Ga1 Ga 0.106 0.606 0.500
Ga2 Ga 0.351 0.000 0.351
Ga3 Ga 0.649 0.000 0.649
Ga4 Ga 0.894 0.394 0.500
Sb1 Sb 0.000 0.000 0.000
Sb2 Sb 0.500 0.500 0.000
# Calculated density ... 4.54 g cm⁻³
# D(E_F) ... 9.59 states/eV/f.u.
# DFT total energy ... -2.829 eV/atom
# Formation energy (no corrections) ... -0.416 eV per atom